The following is a PBE calculation of a relaxed LiReTc crystal, from Alexandria via LeMat-Bulk.

Output
The crystal system is trigonal. As for the total DFT energy (no corrections): -8.14 eV/atom. The calculation puts the energy relative to the lowest polymorph listed for this composition at 0.000 eV per atom. Its volume is 13.94 A^3/atom. For the formation energy, the calculation gives 0.10 eV/atom.

Structure (CIF):
```
data_LiReTc
_space_group_name_H-M_alt 'P 3 m 1'
_space_group_IT_number 156
_cell_length_a 4.3218
_cell_length_b 4.3218
_cell_length_c 2.5845
_cell_angle_alpha 90.00
_cell_angle_beta 90.00
_cell_angle_gamma 120.00
loop_
_space_group_symop_operation_xyz
'x,y,z'
'-y,x-y,z'
'-x+y,-x,z'
'-y,-x,z'
'-x+y,y,z'
'x,x-y,z'
loop_
_atom_site_label
_atom_site_type_symbol
_atom_site_fract_x
_atom_site_fract_y
_atom_site_fract_z
Li1 Li 0.0000 0.0000 0.0000
Re1 Re 0.6667 0.3333 0.3744
Tc1 Tc 0.3333 0.6667 0.6386
```



The following is a PBE calculation of a relaxed LiRe2Tc crystal, from Alexandria via LeMat-Bulk.

Output
The crystal system is orthorhombic. As for the total DFT energy (no corrections): -9.09 eV/atom. The calculation puts the energy relative to the lowest polymorph listed for this composition at 0.028 eV per atom. Its volume is 14.20 A^3/atom. For the formation energy, the calculation gives 0.20 eV/atom.

Structure (CIF):
```
data_LiRe2Tc
_space_group_name_H-M_alt 'I m m m'
_space_group_IT_number 71
_space_group_name_Hall '-I 2 2'
_cell_length_a 3.011
_cell_length_b 4.321
_cell_length_c 8.730
_cell_angle_alpha 90.00
_cell_angle_beta 90.00
_cell_angle_gamma 90.00
loop_
_atom_site_label
_atom_site_type_symbol
_atom_site_fract_x
_atom_site_fract_y
_atom_site_fract_z
Li1 Li 0.000 0.000 0.000
Re1 Re 0.000 0.500 0.243
Tc1 Tc 0.000 0.000 0.500
```